Density functional theory data (PBE) for a relaxed ZrAsC3 crystal.

Results
**Formation energy from the elements**: 2.3523 eV/atom
**DFT total energy**: -5.822 eV/atom
**Fermi-level density of states**: 3.4 states/eV/cell
**Excess energy over the best structure of this formula in the dataset**: 0.577 eV/atom

Structure (CIF):
```
data_ZrAsC3
_chemical_formula_sum 'Zr1 As1 C3'
_space_group_name_H-M_alt 'P m -3 m'
_space_group_IT_number 221
_space_group_name_Hall '-P 4 2 3'
_cell_length_a 4.337
_cell_length_b 4.337
_cell_length_c 4.337
_cell_angle_alpha 90.00
_cell_angle_beta 90.00
_cell_angle_gamma 90.00
loop_
_atom_site_label
_atom_site_fract_x
_atom_site_fract_y
_atom_site_fract_z
Zr1 0.000 0.000 0.000
As1 0.500 0.500 0.500
C1 0.000 0.000 0.500
```

=====

Density functional theory data (PBE) for a relaxed Zr3AsC crystal.

Results
**Formation energy from the elements**: -0.4107 eV/atom
**DFT total energy**: -8.314 eV/atom
**Fermi-level density of states**: 3.6 states/eV/cell

Structure (CIF):
```
data_Zr3AsC
_chemical_formula_sum 'Zr3 As1 C1'
_space_group_name_H-M_alt 'P m -3 m'
_space_group_IT_number 221
_space_group_name_Hall '-P 4 2 3'
_cell_length_a 4.511
_cell_length_b 4.511
_cell_length_c 4.511
_cell_angle_alpha 90.00
_cell_angle_beta 90.00
_cell_angle_gamma 90.00
loop_
_atom_site_label
_atom_site_fract_x
_atom_site_fract_y
_atom_site_fract_z
Zr1 0.000 0.000 0.500
As1 0.500 0.500 0.500
C1 0.000 0.000 0.000
```

=====

Density functional theory data (PBE) for a relaxed ZrAsC crystal.

Results
**Formation energy from the elements**: -0.2548 eV/atom
**DFT total energy**: -7.729 eV/atom
**Fermi-level density of states**: 4.7 states/eV/cell
**Excess energy over the best structure of this formula in the dataset**: 0.069 eV/atom

Structure (CIF):
```
data_ZrAsC
_chemical_formula_sum 'Zr4 As4 C4'
_space_group_name_H-M_alt 'A m m 2'
_space_group_IT_number 38
_space_group_name_Hall 'A 2 -2'
_cell_length_a 4.310
_cell_length_b 3.349
_cell_length_c 13.567
_cell_angle_alpha 90.00
_cell_angle_beta 90.00
_cell_angle_gamma 90.00
loop_
_atom_site_label
_atom_site_fract_x
_atom_site_fract_y
_atom_site_fract_z
Zr1 0.000 0.000 0.000
Zr2 0.500 0.000 0.175
As1 0.000 0.000 0.325
As2 0.500 0.000 0.844
C1 0.333 0.000 0.568
```

=====

Density functional theory data (PBE) for a relaxed Zr5As2C crystal.

Results
**Formation energy from the elements**: -0.5587 eV/atom
**DFT total energy**: -8.217 eV/atom
**Fermi-level density of states**: 22.9 states/eV/cell

Structure (CIF):
```
data_Zr5As2C
_chemical_formula_sum 'Zr20 As8 C4'
_space_group_name_H-M_alt 'C m c m'
_space_group_IT_number 63
_space_group_name_Hall '-C 2c 2'
_cell_length_a 5.162
_cell_length_b 10.168
_cell_length_c 12.433
_cell_angle_alpha 90.00
_cell_angle_beta 90.00
_cell_angle_gamma 90.00
loop_
_atom_site_label
_atom_site_fract_x
_atom_site_fract_y
_atom_site_fract_z
Zr1 0.000 0.059 0.128
Zr2 0.000 0.297 0.750
Zr3 0.000 0.376 0.119
As1 0.000 0.193 0.553
C1 0.000 0.225 0.250
```

=====

Density functional theory data (PBE) for a relaxed ZrAsC crystal.

Results
**Formation energy from the elements**: -0.3206 eV/atom
**DFT total energy**: -7.794 eV/atom
**Fermi-level density of states**: 3.4 states/eV/cell
**Excess energy over the best structure of this formula in the dataset**: 0.003 eV/atom

Structure (CIF):
```
data_ZrAsC
_chemical_formula_sum 'Zr4 As4 C4'
_space_group_name_H-M_alt 'C 1 2/m 1'
_space_group_IT_number 12
_space_group_name_Hall '-C 2y'
_cell_length_a 6.970
_cell_length_b 3.467
_cell_length_c 9.081
_cell_angle_alpha 90.00
_cell_angle_beta 109.69
_cell_angle_gamma 90.00
loop_
_atom_site_label
_atom_site_fract_x
_atom_site_fract_y
_atom_site_fract_z
Zr1 0.202 0.000 0.153
As1 0.033 0.000 0.636
C1 0.060 0.500 0.955
```

=====

Density functional theory data (PBE) for a relaxed Zr4AsC2 crystal.

Results
**Formation energy from the elements**: -0.8852 eV/atom
**DFT total energy**: -9.069 eV/atom
**Fermi-level density of states**: 8.2 states/eV/cell

Structure (CIF):
```
data_Zr4AsC2
_chemical_formula_sum 'Zr16 As4 C8'
_space_group_name_H-M_alt 'C m c m'
_space_group_IT_number 63
_space_group_name_Hall '-C 2c 2'
_cell_length_a 3.483
_cell_length_b 11.227
_cell_length_c 11.764
_cell_angle_alpha 90.00
_cell_angle_beta 90.00
_cell_angle_gamma 90.00
loop_
_atom_site_label
_atom_site_fract_x
_atom_site_fract_y
_atom_site_fract_z
Zr1 0.000 0.000 0.000
Zr2 0.000 0.264 0.108
Zr3 0.000 0.427 0.750
As1 0.000 0.108 0.750
C1 0.000 0.364 0.563
```

=====

Please write out number 2 again, unchanged.
Density functional theory data (PBE) for a relaxed Zr3AsC crystal.

Results
**Formation energy from the elements**: -0.4107 eV/atom
**DFT total energy**: -8.314 eV/atom
**Fermi-level density of states**: 3.6 states/eV/cell

Structure (CIF):
```
data_Zr3AsC
_chemical_formula_sum 'Zr3 As1 C1'
_space_group_name_H-M_alt 'P m -3 m'
_space_group_IT_number 221
_space_group_name_Hall '-P 4 2 3'
_cell_length_a 4.511
_cell_length_b 4.511
_cell_length_c 4.511
_cell_angle_alpha 90.00
_cell_angle_beta 90.00
_cell_angle_gamma 90.00
loop_
_atom_site_label
_atom_site_fract_x
_atom_site_fract_y
_atom_site_fract_z
Zr1 0.000 0.000 0.500
As1 0.500 0.500 0.500
C1 0.000 0.000 0.000
```